No. 1
The following is a DFT calculation (PBE-GGA) of a geometry-optimized HfNpN structure.

The structure in CIF format:
```
data_HfNpN
_chemical_formula_sum 'Hf4 Np4 N4'
_cell_length_a 3.1491
_cell_length_b 12.8278
_cell_length_c 4.4547
_cell_angle_alpha 90.00
_cell_angle_beta 90.00
_cell_angle_gamma 90.00
_space_group_name_H-M_alt 'C m c m'
_space_group_IT_number 63
_space_group_name_Hall '-C 2c 2'
loop_
_atom_site_label
_atom_site_fract_x
_atom_site_fract_y
_atom_site_fract_z
Hf1 0.0000 0.1908 0.2500
Np1 0.0000 0.4574 0.2500
N1 0.0000 0.1874 0.7500
```

Output
Crystal system: orthorhombic
E_form (uncorrected) (eV/f.u.): -2.838
V (Å³ per atom): 15.00

---

No. 2
The following is a DFT calculation (PBE-GGA) of a geometry-optimized Ir4PbCl structure.

The structure in CIF format:
```
data_Ir4PbCl
_chemical_formula_sum 'Ir16 Pb4 Cl4'
_cell_length_a 7.6351
_cell_length_b 7.6351
_cell_length_c 7.6351
_cell_angle_alpha 90.00
_cell_angle_beta 90.00
_cell_angle_gamma 90.00
_space_group_name_H-M_alt 'F -4 3 m'
_space_group_IT_number 216
_space_group_name_Hall 'F -4 2 3'
loop_
_atom_site_label
_atom_site_fract_x
_atom_site_fract_y
_atom_site_fract_z
Ir1 0.1249 0.1249 0.1249
Pb1 0.2500 0.2500 0.7500
Cl1 0.0000 0.0000 0.5000
```

Output
Crystal system: cubic
E_form (uncorrected) (eV/f.u.): 5.015
V (Å³ per atom): 18.55

---

No. 3
The following is a DFT calculation (PBE-GGA) of a geometry-optimized BeInOs structure.

The structure in CIF format:
```
data_BeInOs
_chemical_formula_sum 'Be4 In4 Os4'
_cell_length_a 5.6933
_cell_length_b 5.6933
_cell_length_c 5.6933
_cell_angle_alpha 90.00
_cell_angle_beta 90.00
_cell_angle_gamma 90.00
_space_group_name_H-M_alt 'F -4 3 m'
_space_group_IT_number 216
_space_group_name_Hall 'F -4 2 3'
loop_
_atom_site_label
_atom_site_fract_x
_atom_site_fract_y
_atom_site_fract_z
Be1 0.0000 0.0000 0.0000
In1 0.2500 0.2500 0.7500
Os1 0.2500 0.2500 0.2500
```

Output
DFT formation energy (eV per atom): 0.438
Offset from the most stable computed form (meV per atom): 303
Crystal system: cubic
V (Å³ per atom): 15.38

---

Which value of V does entry 3 give? 15.38 Å³ per atom